[1]
VASP calculation (PBE) on Pr2Nd4Ge3O2 after structural relaxation.

Calculated density: 6.6 g cm⁻³
Formation energy from raw total energies: -1.48 eV per atom
Symmetry: I4/mmm, No. 139

abc: 12.861 12.861 12.861
angles: 158.80 158.80 30.16
Fractional coordinates of all 11 atoms:
Pr: 0.198 0.198 0.000
Pr: 0.802 0.802 0.000
Nd: 0.080 0.580 0.500
Nd: 0.420 0.920 0.500
Nd: 0.580 0.080 0.500
Nd: 0.920 0.420 0.500
Ge: 0.325 0.325 0.000
Ge: 0.500 0.500 0.000
Ge: 0.675 0.675 0.000
O: 0.100 0.100 0.000
O: 0.900 0.900 0.000

=====

[2]
VASP calculation (PBE) on NdPuGe2O8 after structural relaxation.

Calculated density: 6.6 g cm⁻³
Formation energy from raw total energies: -2.29 eV per atom
Symmetry: I-4m2, No. 119

abc: 6.025 6.025 6.025
angles: 106.88 106.88 114.79
Fractional coordinates of all 12 atoms:
Nd: 0.000 0.000 0.000
Pu: 0.250 0.750 0.500
Ge: 0.500 0.500 0.000
Ge: 0.750 0.250 0.500
O: 0.325 0.134 0.809
O: 0.325 0.516 0.191
O: 0.384 0.060 0.324
O: 0.484 0.675 0.809
O: 0.736 0.060 0.676
O: 0.866 0.675 0.191
O: 0.940 0.264 0.324
O: 0.940 0.616 0.676

=====

[3]
VASP calculation (PBE) on Rb4Nd3GeO8 after structural relaxation.

Calculated density: 5.5 g cm⁻³
Formation energy from raw total energies: -2.15 eV per atom
Symmetry: R-3m, No. 166

abc: 7.782 7.782 7.782
angles: 54.87 54.87 54.87
Fractional coordinates of all 16 atoms:
Rb: 0.000 0.000 0.000
Rb: 0.000 0.500 0.500
Rb: 0.500 0.000 0.500
Rb: 0.500 0.500 0.000
Nd: 0.000 0.000 0.500
Nd: 0.000 0.500 0.000
Nd: 0.500 0.000 0.000
Ge: 0.500 0.500 0.500
O: 0.227 0.227 0.227
O: 0.243 0.717 0.717
O: 0.283 0.283 0.757
O: 0.283 0.757 0.283
O: 0.717 0.243 0.717
O: 0.717 0.717 0.243
O: 0.757 0.283 0.283
O: 0.773 0.773 0.773

=====

[4]
VASP calculation (PBE) on RbNdGeO4 after structural relaxation.

Calculated density: 4.6 g cm⁻³
Formation energy from raw total energies: -2.33 eV per atom
Symmetry: P2_1/m, No. 11

abc: 5.944 5.972 7.769
angles: 90.00 106.73 90.00
Fractional coordinates of all 14 atoms:
Rb: 0.188 0.250 0.427
Rb: 0.812 0.750 0.573
Nd: 0.288 0.250 0.956
Nd: 0.712 0.750 0.044
Ge: 0.249 0.750 0.163
Ge: 0.751 0.250 0.837
O: 0.056 0.750 0.940
O: 0.061 0.750 0.302
O: 0.451 0.522 0.181
O: 0.451 0.978 0.181
O: 0.549 0.022 0.819
O: 0.549 0.478 0.819
O: 0.939 0.250 0.698
O: 0.944 0.250 0.060

=====

[5]
VASP calculation (PBE) on Rb2NdGeO4 after structural relaxation.

Calculated density: 4.2 g cm⁻³
Formation energy from raw total energies: -1.90 eV per atom
Symmetry: I-4, No. 82

abc: 6.422 6.422 6.422
angles: 122.94 122.94 84.98
Fractional coordinates of all 8 atoms:
Rb: 0.000 0.000 0.000
Rb: 0.750 0.250 0.500
Nd: 0.500 0.500 0.000
Ge: 0.250 0.750 0.500
O: 0.249 0.081 0.611
O: 0.362 0.751 0.832
O: 0.470 0.638 0.389
O: 0.919 0.530 0.168

=====

[6]
VASP calculation (PBE) on NdGeRhO after structural relaxation.

Calculated density: 7.7 g cm⁻³
Formation energy from raw total energies: -1.85 eV per atom
Symmetry: P4/nmm, No. 129

abc: 4.121 4.121 8.505
angles: 90.00 90.00 90.00
Fractional coordinates of all 8 atoms:
Nd: 0.250 0.250 0.135
Nd: 0.750 0.750 0.865
Ge: 0.250 0.250 0.657
Ge: 0.750 0.750 0.343
Rh: 0.250 0.750 0.500
Rh: 0.750 0.250 0.500
O: 0.250 0.750 0.000
O: 0.750 0.250 0.000